# PBE Pu2ThPb, relaxed
# - D(E_F) (states/eV per cell) = 14.121
# - ΔE to the lowest computed polymorph (meV/atom) = 105
# - energy of formation from the pure elements (eV/atom) = -0.0032
data_Pu2ThPb
_chemical_formula_sum 'Pu2 Th1 Pb1'
_cell_length_a 4.146
_cell_length_b 4.146
_cell_length_c 6.621
_cell_angle_alpha 90.00
_cell_angle_beta 90.00
_cell_angle_gamma 90.00
_symmetry_space_group_name_H-M 'P 4/m m m'
_symmetry_Int_Tables_number 123
_symmetry_space_group_name_Hall '-P 4 2'
loop_
_atom_site_label
_atom_site_type_symbol
_atom_site_fract_x
_atom_site_fract_y
_atom_site_fract_z
_atom_site_occupancy
Pu1 Pu 0.000 0.000 0.234 1
Th1 Th 0.500 0.500 0.500 1
Pb1 Pb 0.500 0.500 0.000 1